! ZrReB (GGA-PBE, relaxed); values from VASP
&SYSTEM
  ibrav = 0, nat = 3, ntyp = 3
/
ATOMIC_SPECIES
Zr 91.22 Zr.upf
Re 186.21 Re.upf
B 10.81 B.upf
ATOMIC_POSITIONS angstrom
Zr 0.000 0.000 0.000
Re 4.427 4.427 4.427
B 2.951 2.951 2.951
CELL_PARAMETERS angstrom
0.000 2.951 2.951
2.951 0.000 2.951
2.951 2.951 0.000
! - ρ: 9.3 g/cm3
! - Raw total energy: -0.2987 Ha/atom
! - Space-group type: F-43m, No. 216

---

! ZrRe2B (GGA-PBE, relaxed); values from VASP
&SYSTEM
  ibrav = 0, nat = 4, ntyp = 3
/
ATOMIC_SPECIES
Zr 91.22 Zr.upf
Re 186.21 Re.upf
B 10.81 B.upf
ATOMIC_POSITIONS angstrom
Zr 0.000 0.000 0.000
Re 1.540 1.540 1.540
Re 3.081 3.081 3.081
B 4.621 4.621 4.621
CELL_PARAMETERS angstrom
0.000 3.081 3.081
3.081 0.000 3.081
3.081 3.081 0.000
! - ρ: 13.5 g/cm3
! - Raw total energy: -0.3491 Ha/atom
! - Space-group type: F-43m, No. 216

---

! ZrReB4 (GGA-PBE, relaxed); values from VASP
&SYSTEM
  ibrav = 0, nat = 24, ntyp = 3
/
ATOMIC_SPECIES
Zr 91.22 Zr.upf
Re 186.21 Re.upf
B 10.81 B.upf
ATOMIC_POSITIONS angstrom
Zr 0.759 1.703 0.000
Zr 2.182 7.378 0.000
Zr 3.700 3.972 0.000
Zr 5.122 9.647 0.000
Re 0.824 4.621 0.000
Re 2.117 10.296 0.000
Re 3.764 1.054 0.000
Re 5.058 6.729 0.000
B 0.130 7.882 1.759
B 0.678 6.225 1.759
B 0.781 11.008 1.759
B 1.204 9.228 1.759
B 1.737 3.552 1.759
B 2.160 5.333 1.759
B 2.263 0.549 1.759
B 2.811 2.207 1.759
B 3.071 9.144 1.759
B 3.619 10.801 1.759
B 3.721 6.017 1.759
B 4.145 7.798 1.759
B 4.677 2.123 1.759
B 5.101 0.342 1.759
B 5.203 5.126 1.759
B 5.751 3.469 1.759
CELL_PARAMETERS angstrom
5.881 0.000 0.000
0.000 11.350 0.000
0.000 0.000 3.519
! - ρ: 9.1 g/cm3
! - Raw total energy: -0.3121 Ha/atom
! - Space-group type: Pbam, No. 55

---

! Ta2B2S (GGA-PBE, relaxed); values from VASP
&SYSTEM
  ibrav = 0, nat = 5, ntyp = 3
/
ATOMIC_SPECIES
Ta 180.95 Ta.upf
B 10.81 B.upf
S 32.06 S.upf
ATOMIC_POSITIONS angstrom
Ta 1.509 4.589 0.000
Ta 1.509 -4.589 0.000
B 1.509 2.760 1.560
B 1.509 -2.760 1.560
S 1.509 0.000 1.560
CELL_PARAMETERS angstrom
1.509 -6.284 0.000
1.509 6.284 0.000
0.000 0.000 3.121
! - ρ: 11.7 g/cm3
! - Raw total energy: -0.3196 Ha/atom
! - Space-group type: Cmmm, No. 65

---

- The lowest ρ belongs to which entry?
  ZrReB4

---

- Which formula does entry 2 have?
  ZrRe2B